A geometry-optimized Nd3AlSn2 structure. Source: the Alexandria database, functional PBE-GGA.

Structure (CIF):
```
data_Nd3AlSn2
_cell_length_a 12.652
_cell_length_b 4.521
_cell_length_c 12.301
_cell_angle_alpha 90.00
_cell_angle_beta 90.00
_cell_angle_gamma 90.00
_symmetry_space_group_name_H-M 'P n m a'
_symmetry_Int_Tables_number 62
loop_
_symmetry_equiv_pos_as_xyz
'x,y,z'
'-x,-y,-z'
'-x+1/2,-y,z+1/2'
'x+1/2,y,-z+1/2'
'x+1/2,-y+1/2,-z+1/2'
'-x+1/2,y+1/2,z+1/2'
'-x,y+1/2,-z'
'x,-y+1/2,z'
loop_
_atom_site_label
_atom_site_fract_x
_atom_site_fract_y
_atom_site_fract_z
_atom_site_occupancy
Nd1 0.053 0.250 0.120 1
Nd2 0.124 0.750 0.561 1
Nd3 0.213 0.250 0.795 1
Al1 0.131 0.250 0.368 1
Sn1 0.016 0.750 0.312 1
Sn2 0.190 0.750 0.000 1
```

The calculation puts the total magnetization at 0.0 μB per cell. The value obtained for the density of states at the Fermi level is 0.747 states/eV/atom. Its energy of formation from the pure elements is -0.645 eV/atom.